No. 1
## PmCu2GeN (PBE)

Data for PmCu2GeN after structural relaxation.

Unit cell a=3.598 b=6.264 c=7.040 alpha=90.00 beta=90.00 gamma=106.69
Fractional coordinates of all 10 atoms:
Ge1 0.260 0.520 0.250
Ge2 0.740 0.480 0.750
Pm1 0.535 0.069 0.250
Pm2 0.465 0.931 0.750
Cu1 0.839 0.677 0.446
Cu2 0.161 0.323 0.554
Cu3 0.839 0.677 0.054
Cu4 0.161 0.323 0.946
N1 0.000 0.000 0.500
N2 0.000 0.000 0.000

Output
Space group: Cmcm
Calculated volume, Å³/cell: 152
Crystal system: orthorhombic
Uncorrected formation energy, eV/atom: -0.49

=====

No. 2
## CuGe2SbN (PBE)

Data for CuGe2SbN after structural relaxation.

Unit cell a=5.194 b=3.472 c=5.194 alpha=90.00 beta=90.00 gamma=90.00
Fractional coordinates of all 5 atoms:
Ge1 0.000 0.000 0.500
Ge2 0.500 0.000 0.000
Cu1 0.000 0.000 0.000
Sb1 0.500 0.500 0.500
N1 0.000 0.500 0.000

Output
Space group: P4/mmm
Calculated volume, Å³/cell: 94
Crystal system: tetragonal
Uncorrected formation energy, eV/atom: 0.69

=====

No. 3
## SmCu2GeN (PBE)

Data for SmCu2GeN after structural relaxation.

Unit cell a=3.568 b=6.281 c=7.024 alpha=90.00 beta=90.00 gamma=106.50
Fractional coordinates of all 10 atoms:
Cu1 0.161 0.322 0.946
Cu2 0.839 0.678 0.054
Cu3 0.839 0.678 0.446
Cu4 0.161 0.322 0.554
Sm1 0.533 0.067 0.250
Sm2 0.467 0.933 0.750
Ge1 0.741 0.482 0.750
Ge2 0.259 0.518 0.250
N1 0.000 0.000 0.500
N2 0.000 0.000 0.000

Output
Space group: Cmcm
Calculated volume, Å³/cell: 151
Crystal system: orthorhombic
Uncorrected formation energy, eV/atom: -0.50

=====

No. 4
## CuGeTe2N (PBE)

Data for CuGeTe2N after structural relaxation.

Unit cell a=5.699 b=5.699 c=3.439 alpha=90.00 beta=90.00 gamma=90.00
Fractional coordinates of all 5 atoms:
N1 0.000 0.000 0.500
Ge1 0.000 0.000 0.000
Cu1 0.500 0.500 0.500
Te1 0.000 0.500 0.000
Te2 0.500 0.000 0.000

Output
Space group: P4/mmm
Energy relative to the lowest polymorph listed for this composition, meV/atom: 72.9
Calculated volume, Å³/cell: 112
Crystal system: tetragonal
Uncorrected formation energy, eV/atom: 0.82

=====

No. 5
## CuGeTe2N (PBE)

Data for CuGeTe2N after structural relaxation.

Unit cell a=5.478 b=5.478 c=3.556 alpha=90.00 beta=90.00 gamma=90.00
Each line ends with the local moment (μB).
Fractional coordinates of all 5 atoms:
Te1 0.500 0.000 0.000  0.04
Te2 0.000 0.500 0.000  0.04
Ge1 0.500 0.500 0.500  0.01
N1 0.000 0.000 0.500  0.66
Cu1 0.000 0.000 0.000  0.20

Output
Space group: P4/mmm
Energy relative to the lowest polymorph listed for this composition, meV/atom: 0.0
Calculated volume, Å³/cell: 107
Crystal system: tetragonal
Uncorrected formation energy, eV/atom: 0.75

=====

No. 6
## CuGe2WN (PBE)

Data for CuGe2WN after structural relaxation.

Unit cell a=5.027 b=3.852 c=5.027 alpha=90.00 beta=90.00 gamma=90.00
Fractional coordinates of all 5 atoms:
Ge1 0.000 0.000 0.500
Ge2 0.500 0.000 0.000
Cu1 0.500 0.500 0.500
N1 0.000 0.500 0.000
W1 0.000 0.000 0.000

Output
Space group: P4/mmm
Calculated volume, Å³/cell: 97
Crystal system: tetragonal
Uncorrected formation energy, eV/atom: 0.73

=====

No. 7
## YCuGe2N (PBE)

Data for YCuGe2N after structural relaxation.

Unit cell a=5.571 b=5.269 c=5.571 alpha=90.00 beta=90.00 gamma=90.00
Each line ends with the local moment (μB).
Fractional coordinates of all 5 atoms:
Ge1 0.500 0.000 0.000  -0.07
Ge2 0.000 0.000 0.500  -0.08
Y1 0.000 0.000 0.000  -0.03
N1 0.500 0.500 0.500  1.75
Cu1 0.000 0.500 0.000  0.00

Output
Space group: P4/mmm
Calculated volume, Å³/cell: 164
Crystal system: tetragonal
Uncorrected formation energy, eV/atom: 1.91

=====

No. 8
## Na2CuGe (PBE)

Data for Na2CuGe after structural relaxation.

Unit cell a=5.224 b=5.871 c=5.871 alpha=106.28 beta=90.00 gamma=90.00
Fractional coordinates of all 8 atoms:
Na1 0.250 0.668 0.028
Na2 0.750 0.972 0.332
Na3 0.250 0.028 0.668
Na4 0.750 0.332 0.972
Cu1 0.000 0.500 0.500
Cu2 0.500 0.500 0.500
Ge1 0.750 0.787 0.787
Ge2 0.250 0.213 0.213

Output
Space group: Cmcm
Calculated volume, Å³/cell: 173
Crystal system: orthorhombic
Calculated total energy, eV per atom: -2.849

=====

No. 9
## NaCu4Ge2 (PBE)

Data for NaCu4Ge2 after structural relaxation.

Unit cell a=3.975 b=7.360 c=7.360 alpha=90.00 beta=90.00 gamma=90.00
Fractional coordinates of all 14 atoms:
Cu1 0.500 0.408 0.850
Cu2 0.500 0.850 0.408
Cu3 0.500 0.150 0.592
Cu4 0.000 0.908 0.650
Cu5 0.000 0.650 0.908
Cu6 0.500 0.592 0.150
Cu7 0.000 0.092 0.350
Cu8 0.000 0.350 0.092
Ge1 0.000 0.219 0.781
Ge2 0.500 0.719 0.719
Ge3 0.500 0.281 0.281
Ge4 0.000 0.781 0.219
Na1 0.000 0.500 0.500
Na2 0.500 0.000 0.000

Output
Space group: P4_2/mnm
Calculated volume, Å³/cell: 215
Crystal system: tetragonal
Calculated total energy, eV per atom: -3.860

=====

No. 10
## NaCu3Ge2 (PBE)

Data for NaCu3Ge2 after structural relaxation.

Unit cell a=4.191 b=7.592 c=7.589 alpha=57.41 beta=73.97 gamma=73.98
Fractional coordinates of all 12 atoms:
Ge1 0.500 0.172 0.828
Ge2 0.500 0.828 0.172
Ge3 0.185 0.315 0.315
Ge4 0.815 0.685 0.685
Cu1 0.001 0.665 0.334
Cu2 0.320 0.876 0.484
Cu3 0.680 0.124 0.516
Cu4 0.320 0.484 0.875
Cu5 0.680 0.516 0.125
Cu6 0.999 0.335 0.666
Na1 0.133 0.867 0.867
Na2 0.867 0.133 0.133

Output
Space group: C2/m
Energy relative to the lowest polymorph listed for this composition, meV/atom: 70.9
Calculated volume, Å³/cell: 193
Crystal system: monoclinic

=====

No. 11
## Na2CuGe3 (PBE)

Data for Na2CuGe3 after structural relaxation.

Unit cell a=4.274 b=5.690 c=5.706 alpha=81.46 beta=68.01 gamma=67.94
Fractional coordinates of all 6 atoms:
Na1 0.423 0.824 0.330
Na2 0.573 0.174 0.680
Cu1 0.163 0.412 0.262
Ge1 0.150 0.767 0.934
Ge2 0.832 0.244 0.092
Ge3 0.859 0.579 0.704

Output
Space group: Cm
Calculated volume, Å³/cell: 119
Crystal system: monoclinic
Calculated total energy, eV per atom: -3.506

=====

No. 12
## NaCu6Ge4 (PBE)

Data for NaCu6Ge4 after structural relaxation.

Unit cell a=6.323 b=6.323 c=6.323 alpha=90.25 beta=119.86 gamma=119.86
Fractional coordinates of all 11 atoms:
Ge1 0.568 0.458 0.458
Ge2 0.432 0.890 0.890
Ge3 0.000 0.542 0.110
Ge4 0.000 0.110 0.542
Cu1 0.316 0.562 0.562
Cu2 0.500 0.500 0.000
Cu3 0.684 0.247 0.247
Cu4 0.500 0.000 0.500
Cu5 0.000 0.438 0.753
Cu6 0.000 0.753 0.438
Na1 0.000 0.000 0.000

Output
Space group: I-42m
Calculated volume, Å³/cell: 179
Crystal system: tetragonal
Calculated total energy, eV per atom: -3.949

=====

No. 13
## NaCuGe3 (PBE)

Data for NaCuGe3 after structural relaxation.

Unit cell a=5.744 b=5.741 c=5.796 alpha=90.00 beta=90.00 gamma=90.00
Fractional coordinates of all 10 atoms:
Ge1 0.967 0.447 0.951
Ge2 0.967 0.447 0.450
Ge3 0.467 0.906 0.950
Ge4 0.840 0.066 0.701
Ge5 0.340 0.287 0.201
Ge6 0.467 0.906 0.451
Na1 0.967 0.943 0.201
Na2 0.467 0.410 0.701
Cu1 0.136 0.766 0.701
Cu2 0.636 0.586 0.201

Output
Space group: Pmn2_1
Energy relative to the lowest polymorph listed for this composition, meV/atom: 78.6
Calculated volume, Å³/cell: 191
Crystal system: orthorhombic

=====

No. 14
## NaCuGe (PBE)

Data for NaCuGe after structural relaxation.

Unit cell a=3.181 b=4.404 c=4.404 alpha=120.00 beta=90.00 gamma=90.00
Fractional coordinates of all 3 atoms:
Na1 0.667 0.333 0.667
Ge1 0.167 0.000 0.000
Cu1 0.167 0.667 0.333

Output
Space group: P-6m2
Calculated volume, Å³/cell: 53
Crystal system: hexagonal
Calculated total energy, eV per atom: -3.305

=====

No. 15
## Na2CuGe2 (PBE)

Data for Na2CuGe2 after structural relaxation.

Unit cell a=4.446 b=5.602 c=9.416 alpha=81.33 beta=76.35 gamma=66.62
Fractional coordinates of all 10 atoms:
Cu1 0.642 0.081 0.635
Cu2 0.358 0.919 0.365
Na1 0.324 0.664 0.688
Na2 0.092 0.708 0.109
Na3 0.908 0.292 0.891
Na4 0.676 0.336 0.312
Ge1 0.090 0.263 0.557
Ge2 0.910 0.737 0.443
Ge3 0.388 0.113 0.111
Ge4 0.612 0.887 0.889

Output
Space group: C2/m
Energy relative to the lowest polymorph listed for this composition, meV/atom: 3.8
Calculated volume, Å³/cell: 209
Crystal system: monoclinic

=====

No. 16
## NaCu3Ge3 (PBE)

Data for NaCu3Ge3 after structural relaxation.

Unit cell a=6.730 b=6.730 c=6.730 alpha=90.00 beta=90.00 gamma=90.00
Fractional coordinates of all 14 atoms:
Ge1 0.500 0.000 0.750
Ge2 0.000 0.750 0.500
Ge3 0.500 0.000 0.250
Ge4 0.750 0.500 0.000
Ge5 0.000 0.250 0.500
Ge6 0.250 0.500 0.000
Cu1 0.000 0.500 0.250
Cu2 0.000 0.500 0.750
Cu3 0.250 0.000 0.500
Cu4 0.500 0.250 0.000
Cu5 0.750 0.000 0.500
Cu6 0.500 0.750 0.000
Na1 0.500 0.500 0.500
Na2 0.000 0.000 0.000

Output
Space group: Pm-3n
Energy relative to the lowest polymorph listed for this composition, meV/atom: 197.1
Calculated volume, Å³/cell: 305
Crystal system: cubic

=====

No. 17
## NaCu2Ge (PBE)

Data for NaCu2Ge after structural relaxation.

Unit cell a=4.179 b=4.179 c=5.786 alpha=68.68 beta=68.68 gamma=60.01
Fractional coordinates of all 4 atoms:
Cu1 0.313 0.313 0.059
Cu2 0.991 0.991 0.026
Ge1 0.694 0.694 0.918
Na1 0.501 0.501 0.497

Output
Space group: Cm
Calculated volume, Å³/cell: 79
Crystal system: monoclinic
Calculated total energy, eV per atom: -3.540

=====

No. 18
## NaCu2Ge (PBE)

Data for NaCu2Ge after structural relaxation.

Unit cell a=4.199 b=4.199 c=5.677 alpha=68.29 beta=68.29 gamma=60.00
Fractional coordinates of all 4 atoms:
Ge1 0.000 0.000 0.000
Cu1 0.315 0.315 0.055
Cu2 0.685 0.685 0.945
Na1 0.500 0.500 0.500

Output
Space group: R-3m
Calculated volume, Å³/cell: 78
Crystal system: trigonal
Calculated total energy, eV per atom: -3.555

=====

No. 19
## Na2CuGe (PBE)

Data for Na2CuGe after structural relaxation.

Unit cell a=10.940 b=10.940 c=8.051 alpha=47.20 beta=47.20 gamma=90.00
Fractional coordinates of all 8 atoms:
Cu1 0.250 0.750 0.500
Cu2 0.500 0.500 0.000
Ge1 0.750 0.250 0.500
Ge2 0.000 0.000 0.000
Na1 0.375 0.580 0.750
Na2 0.420 0.125 0.250
Na3 0.330 0.625 0.250
Na4 0.875 0.670 0.750

Output
Space group: I-42d
Calculated volume, Å³/cell: 267
Crystal system: tetragonal
Calculated total energy, eV per atom: -2.702

=====

No. 20
## NaCuGe (PBE)

Data for NaCuGe after structural relaxation.

Unit cell a=4.287 b=4.287 c=6.573 alpha=90.00 beta=90.00 gamma=90.00
Fractional coordinates of all 6 atoms:
Ge1 0.000 0.500 0.317
Ge2 0.500 0.000 0.683
Cu1 0.500 0.500 0.500
Cu2 0.000 0.000 0.500
Na1 0.000 0.500 0.840
Na2 0.500 0.000 0.160

Output
Space group: P4/nmm
Calculated volume, Å³/cell: 121
Crystal system: tetragonal
Calculated total energy, eV per atom: -3.384

=====

No. 21
## Na2Cu5Ge4 (PBE)

Data for Na2Cu5Ge4 after structural relaxation.

Unit cell a=5.178 b=5.424 c=8.251 alpha=81.38 beta=71.71 gamma=61.49
Fractional coordinates of all 11 atoms:
Ge1 0.536 0.676 0.252
Ge2 0.212 0.324 0.252
Ge3 0.464 0.324 0.748
Ge4 0.788 0.676 0.748
Cu1 0.000 0.500 0.000
Cu2 0.500 0.500 0.000
Cu3 0.750 0.500 0.500
Cu4 0.250 0.500 0.500
Cu5 0.500 0.000 0.000
Na1 0.861 0.000 0.279
Na2 0.139 0.000 0.721

Output
Space group: Fmmm
Calculated volume, Å³/cell: 193
Crystal system: orthorhombic
Calculated total energy, eV per atom: -3.781

=====

No. 22
## Na6CuGe2 (PBE)

Data for Na6CuGe2 after structural relaxation.

Unit cell a=5.234 b=5.234 c=9.898 alpha=74.67 beta=74.67 gamma=60.00
Fractional coordinates of all 9 atoms:
Na1 0.191 0.191 0.428
Na2 0.577 0.577 0.269
Na3 0.697 0.697 0.908
Na4 0.423 0.423 0.731
Na5 0.303 0.303 0.092
Na6 0.809 0.809 0.572
Ge1 0.083 0.083 0.751
Ge2 0.917 0.917 0.249
Cu1 0.000 0.000 0.000

Output
Space group: R-3m
Calculated volume, Å³/cell: 224
Crystal system: trigonal
Calculated total energy, eV per atom: -2.421

=====

No. 23
## Na2Cu3Ge4 (PBE)

Data for Na2Cu3Ge4 after structural relaxation.

Unit cell a=5.452 b=5.452 c=6.896 alpha=101.03 beta=101.03 gamma=121.08
Fractional coordinates of all 9 atoms:
Ge1 0.017 0.670 0.687
Ge2 0.670 0.017 0.687
Ge3 0.330 0.983 0.313
Ge4 0.983 0.330 0.313
Cu1 0.500 0.000 0.000
Cu2 0.000 0.500 0.000
Cu3 0.000 0.000 0.000
Na1 0.367 0.367 0.735
Na2 0.633 0.633 0.265

Output
Space group: Fmmm
Calculated volume, Å³/cell: 162
Crystal system: orthorhombic
Calculated total energy, eV per atom: -3.703

=====

No. 24
## NaCuGe3 (PBE)

Data for NaCuGe3 after structural relaxation.

Unit cell a=4.807 b=4.807 c=4.807 alpha=90.00 beta=90.00 gamma=90.00
Fractional coordinates of all 5 atoms:
Ge1 0.500 0.000 0.000
Ge2 0.000 0.500 0.000
Ge3 0.000 0.000 0.500
Na1 0.500 0.500 0.500
Cu1 0.000 0.000 0.000

Output
Space group: Pm-3m
Energy relative to the lowest polymorph listed for this composition, meV/atom: 361.0
Calculated volume, Å³/cell: 111
Crystal system: cubic

=====

No. 25
## NaCu2Ge (PBE)

Data for NaCu2Ge after structural relaxation.

Unit cell a=4.175 b=5.417 c=7.098 alpha=90.00 beta=90.00 gamma=90.64
Fractional coordinates of all 8 atoms:
Na1 0.748 0.088 0.750
Na2 0.252 0.912 0.250
Ge1 0.251 0.579 0.750
Ge2 0.749 0.421 0.250
Cu1 0.249 0.419 0.072
Cu2 0.751 0.581 0.928
Cu3 0.249 0.419 0.428
Cu4 0.751 0.581 0.572

Output
Space group: P2_1/m
Calculated volume, Å³/cell: 161
Crystal system: monoclinic
Calculated total energy, eV per atom: -3.557